[1]
Density functional theory data (PBE) for a geometry-optimized Sb2POs structure.

Structure (extended XYZ):
```
8
Lattice="6.2831 0.0000 0.0000 0.0000 7.5813 0.0000 -0.8357 0.0000 3.2407" Properties=species:S:1:pos:R:3 pbc="T T T"
Sb 1.5708 1.8953 0.0000
Sb 1.5708 5.6860 0.0000
Sb 4.7123 1.8953 0.0000
Sb 4.7123 5.6860 0.0000
P -0.4178 0.0000 1.6203
P 2.7237 3.7906 1.6203
Os -0.4178 3.7906 1.6203
Os 2.7237 0.0000 1.6203
```

- E_form (uncorrected): 66.3 kJ per mole of atoms
- DOS(E_F): 4.04 states/eV/cell

[2]
Density functional theory data (PBE) for a geometry-optimized PrNd3Dy2As6 structure.

Structure (extended XYZ):
```
12
Lattice="3.6627 -6.3431 0.0000 3.6627 6.3431 0.0000 -2.4405 0.0000 6.9057" Properties=species:S:1:pos:R:3 pbc="T T T"
Pr 0.0000 0.0000 0.0000
Nd 2.4424 4.2452 3.4529
Nd 2.4424 0.0000 3.4529
Nd 2.4424 -4.2452 3.4529
Dy 3.6627 2.1195 0.0000
Dy 3.6627 -2.1195 0.0000
As 1.2436 2.1527 1.6906
As 0.0458 0.0000 5.2227
As 1.2436 -2.1527 1.6906
As 3.6412 2.1527 5.2151
As 4.8391 0.0000 1.6831
As 3.6412 -2.1527 5.2151
```

- ΔE_f: -1.509 eV/atom
- DOS(E_F): 1.63 states/eV/cell

[3]
Density functional theory data (PBE) for a geometry-optimized Hf2CoAgS structure.

Structure (extended XYZ):
```
5
Lattice="4.7890 0.0000 0.0000 0.0000 4.7890 0.0000 0.0000 0.0000 4.0575" Properties=species:S:1:pos:R:3 pbc="T T T"
Hf 0.0000 2.3945 0.0000
Hf 2.3945 0.0000 0.0000
Co 0.0000 0.0000 2.0288
Ag 2.3945 2.3945 2.0288
S 0.0000 0.0000 0.0000
```

- E_form (uncorrected): -17.9 kJ per mole of atoms
- DOS(E_F): 4.42 states/eV/cell

[4]
Density functional theory data (PBE) for a geometry-optimized GdErAlPt structure.

Structure (extended XYZ):
```
16
Lattice="7.1141 0.0000 0.0000 0.0000 7.1141 0.0000 0.0000 0.0000 7.1141" Properties=species:S:1:pos:R:3 pbc="T T T"
Gd 0.0000 0.0000 0.0000
Gd 0.0000 3.5571 3.5571
Gd 3.5571 0.0000 3.5571
Gd 3.5571 3.5571 0.0000
Er 0.0000 0.0000 3.5571
Er 0.0000 3.5571 0.0000
Er 3.5571 0.0000 0.0000
Er 3.5571 3.5571 3.5571
Al 1.7785 1.7785 1.7785
Al 1.7785 5.3356 5.3356
Al 5.3356 1.7785 5.3356
Al 5.3356 5.3356 1.7785
Pt 1.7785 1.7785 5.3356
Pt 1.7785 5.3356 1.7785
Pt 5.3356 1.7785 1.7785
Pt 5.3356 5.3356 5.3356
```

- ΔE_f: -0.731 eV/atom
- DOS(E_F): 10.16 states/eV/cell

[5]
Density functional theory data (PBE) for a geometry-optimized Pr4NdDy2Tm2 structure.

Structure (extended XYZ):
```
9
Lattice="7.6934 -2.5566 0.0000 7.6934 2.5566 0.0000 -2.5294 0.0000 7.6826" Properties=species:S:1:pos:R:3 pbc="T T T"
Pr -0.0108 0.0000 2.5421
Pr 2.5631 0.0000 5.1436
Pr 10.2943 0.0000 2.5389
Pr 12.8682 0.0000 5.1405
Nd 7.6934 0.0000 0.0000
Dy 5.1372 0.0000 2.5422
Dy 7.7201 0.0000 5.1404
Tm 0.0699 0.0000 7.6747
Tm 12.7875 0.0000 0.0079
```

- ΔE_f: 0.021 eV/atom
- DOS(E_F): 13.20 states/eV/cell

[6]
Density functional theory data (PBE) for a geometry-optimized Tb3Tl3VSe8 structure.

Structure (extended XYZ):
```
15
Lattice="4.0624 2.3454 7.7921 -4.0624 2.3454 7.7921 0.0000 -4.6909 7.7921" Properties=species:S:1:pos:R:3 pbc="T T T"
Tb -2.0312 -1.1727 7.7921
Tb -2.0312 1.1727 15.5842
Tb 0.0000 2.3454 7.7921
Tl -4.0624 0.0000 11.6881
Tl -2.0312 1.1727 3.8960
Tl 2.0312 1.1727 3.8960
V 0.0000 0.0000 0.0000
Se 0.0000 -2.5595 9.3045
Se -2.2166 1.2798 9.3045
Se -2.2166 -1.2798 14.0718
Se 0.0000 0.0000 6.1612
Se 0.0000 0.0000 17.2150
Se 2.2166 1.2798 9.3045
Se 2.2166 -1.2798 14.0718
Se 0.0000 2.5595 14.0718
```

- E_form (uncorrected): -113.8 kJ per mole of atoms
- DOS(E_F): 6.46 states/eV/cell

Number 1: M_tot 0.00 μB per cell, electronic total energy -0.203 hartree per atom. Number 2: M_tot 0.00 μB per cell, electronic total energy -0.228 hartree per atom. Number 3: M_tot 1.33 μB per cell, electronic total energy -0.257 hartree per atom. Number 4: M_tot 28.32 μB per cell, electronic total energy -0.288 hartree per atom. Number 5: M_tot 0.00 μB per cell, electronic total energy -0.171 hartree per atom. Number 6: M_tot 1.12 μB per cell, electronic total energy -0.185 hartree per atom.